LaHf2Tc | PBE | relaxed

a b c (Å): 4.912 4.912 4.912
angles (deg): 60.00 60.00 60.00
Element x y z (fractional)
La1 0.000 0.000 0.000
Hf1 0.250 0.250 0.250
Hf2 0.750 0.750 0.750
Tc1 0.500 0.500 0.500

Computed properties:
Energy of formation = 198 meV per atom
Calculated volume = 20.95 A^3/atom


La2HfTc | PBE | relaxed

a b c (Å): 7.367 7.367 7.367
angles (deg): 97.27 97.27 138.31
Element x y z (fractional)
La1 0.002 0.625 0.877
La2 0.375 0.252 0.377
La3 0.748 0.125 0.123
La4 0.875 0.998 0.623
Hf1 0.250 0.750 0.500
Hf2 0.500 0.500 0.000
Tc1 0.000 0.000 0.000
Tc2 0.750 0.250 0.500

Computed properties:
Energy of formation = 495 meV per atom
Calculated volume = 31.07 A^3/atom


LaHf2Tc | PBE | relaxed

a b c (Å): 3.321 3.321 8.357
angles (deg): 90.00 90.00 90.00
Element x y z (fractional)
La1 0.000 0.000 0.000
Hf1 0.500 0.500 0.317
Hf2 0.500 0.500 0.683
Tc1 0.000 0.000 0.500

Computed properties:
Energy of formation = -164 meV per atom
Calculated volume = 23.04 A^3/atom


LaHfTc3 | PBE | relaxed

a b c (Å): 4.875 4.875 4.875
angles (deg): 90.00 90.00 90.00
Element x y z (fractional)
La1 0.000 0.000 0.000
Hf1 0.500 0.500 0.500
Tc1 0.000 0.500 0.500
Tc2 0.500 0.000 0.500
Tc3 0.500 0.500 0.000

Computed properties:
Energy of formation = 1083 meV per atom
Calculated volume = 23.17 A^3/atom


LaHf2Tc | PBE | relaxed

a b c (Å): 10.914 10.914 10.914
angles (deg): 157.71 157.71 31.72
Element x y z (fractional)
La1 0.000 0.000 0.000
La2 0.750 0.250 0.500
Hf1 0.142 0.625 0.017
Hf2 0.375 0.392 0.517
Hf3 0.608 0.125 0.983
Hf4 0.875 0.858 0.483
Tc1 0.250 0.750 0.500
Tc2 0.500 0.500 0.000

Computed properties:
Energy of formation = 641 meV per atom
Calculated volume = 23.35 A^3/atom


LaHfTc2 | PBE | relaxed

a b c (Å): 9.663 9.663 9.663
angles (deg): 150.97 150.97 41.51
Element x y z (fractional)
La1 0.000 0.000 0.000
La2 0.750 0.250 0.500
Hf1 0.250 0.750 0.500
Hf2 0.500 0.500 0.000
Tc1 0.342 0.125 0.717
Tc2 0.375 0.658 0.783
Tc3 0.408 0.625 0.283
Tc4 0.875 0.592 0.217

Computed properties:
Energy of formation = 653 meV per atom
Calculated volume = 26.49 A^3/atom